# LaZn4Pd8 PBE-GGA relaxed
# DFT formation energy   -0.569 eV per atom
data_LaZn4Pd8
_cell_length_a 8.904
_cell_length_b 8.904
_cell_length_c 5.341
_cell_angle_alpha 90.00
_cell_angle_beta 90.00
_cell_angle_gamma 90.00
_space_group_name_H-M_alt 'I 4/m m m'
_space_group_IT_number 139
_space_group_name_Hall '-I 4 2'
loop_
_atom_site_label
_atom_site_type_symbol
_atom_site_fract_x
_atom_site_fract_y
_atom_site_fract_z
_atom_site_occupancy
La1 La 0.000 0.000 0.000 1
Zn1 Zn 0.250 0.250 0.250 1
Pd1 Pd 0.000 0.224 0.500 1
Pd2 Pd 0.000 0.342 0.000 1